[1]
Entry from the Alexandria database: an optimized crystal structure of K3CdAg6 (PBE-GGA).

a b c (Å): 7.051 7.051 7.767
angles (deg): 113.35 113.35 48.47
Sites, in units of the cell vectors:
K 0.000 0.000 0.000
K 0.476 0.476 0.724
K 0.524 0.524 0.276
Cd 0.000 0.000 0.500
Ag 0.017 0.526 0.197
Ag 0.207 0.207 0.457
Ag 0.474 0.983 0.803
Ag 0.526 0.017 0.197
Ag 0.793 0.793 0.543
Ag 0.983 0.474 0.803

Computed properties:
For the energy of formation, the calculation gives 55 kJ/mol of formula units. As for the density of states at the Fermi level: 0.404 states/eV per atom. The space group is C2/m (12). As for the electronic total energy: -20.75 eV per formula unit. The volume is 26.03 Å³ per atom.

***

[2]
Entry from the Alexandria database: an optimized crystal structure of Lu2InNi2 (PBE-GGA).

a b c (Å): 7.333 7.333 3.602
angles (deg): 90.00 90.00 149.76
Sites, in units of the cell vectors:
Lu 0.140 0.860 0.000
Lu 0.860 0.140 0.000
In 0.500 0.500 0.500
Ni 0.303 0.697 0.500
Ni 0.697 0.303 0.500

Computed properties:
For the energy of formation, the calculation gives -272 kJ/mol of formula units. As for the density of states at the Fermi level: 0.379 states/eV per atom. The space group is Cmmm (65). As for the electronic total energy: -26.17 eV per formula unit. The volume is 19.51 Å³ per atom.

***

[3]
Entry from the Alexandria database: an optimized crystal structure of LiPaMnS6 (PBE-GGA).

a b c (Å): 6.393 6.393 5.239
angles (deg): 90.00 90.00 120.00
Sites, in units of the cell vectors:
Li 0.000 0.000 0.000
Pa 0.667 0.333 0.500
Mn 0.333 0.667 0.000
S 0.039 0.360 0.248
S 0.039 0.678 0.752
S 0.322 0.360 0.752
S 0.322 0.961 0.248
S 0.640 0.678 0.248
S 0.640 0.961 0.752

Computed properties:
As for the density of states at the Fermi level: 0.678 states/eV per atom. The calculation puts the formation energy (no corrections) at -0.681 eV per atom. The space group is P312 (149). As for the electronic total energy: -51.47 eV per formula unit. The volume is 20.60 Å³ per atom.

***

[4]
Entry from the Alexandria database: an optimized crystal structure of NaSr2Sn2P4 (PBE-GGA).

a b c (Å): 8.001 8.001 6.679
angles (deg): 106.07 106.07 34.06
Sites, in units of the cell vectors:
Na 0.000 0.000 0.000
Sr 0.132 0.132 0.564
Sr 0.868 0.868 0.436
Sn 0.342 0.342 0.987
Sn 0.658 0.658 0.013
P 0.219 0.219 0.205
P 0.499 0.499 0.670
P 0.501 0.501 0.330
P 0.781 0.781 0.795

Computed properties:
For the energy of formation, the calculation gives -445 kJ/mol of formula units. As for the density of states at the Fermi level: 0.111 states/eV per atom. The space group is C2/m (12). As for the electronic total energy: -38.94 eV per formula unit. The volume is 25.46 Å³ per atom.

***

Which of these has the highest electronic total energy? K3CdAg6